The following is a DFT calculation (PBE-GGA) of a relaxed structure of SbOs.

Output
E_form (uncorrected) = 0.389 eV per atom
raw total energy = -7.29 eV/atom
total magnetization = 0.00 μB/f.u.
space group = P4/nmm

Lattice parameters (Å, degrees): 3.047 3.047 9.032 90.00 90.00 90.00
Fractional coordinates of all 4 atoms:
Os (0.250, 0.250, 0.098)
Os (0.750, 0.750, 0.902)
Sb (0.250, 0.250, 0.705)
Sb (0.750, 0.750, 0.295)